Entry from Alexandria: a relaxed FeRu2Cl crystal (PBE).

a b c (Å): 5.1584 5.1584 5.1584
angles (deg): 148.32 127.82 62.34
Sites, in units of the cell vectors:
Fe 0.0000 0.0000 0.0000
Ru 0.2703 0.7703 0.5000
Ru 0.7297 0.2297 0.5000
Cl 0.5000 0.5000 0.0000

Computed properties:
Space-group type: Immm
Relative energy among the computed polymorphs: 365 meV per atom



Entry from Alexandria: a relaxed Sr3Ca7In4 crystal (PBE).

a b c (Å): 9.5997 9.5997 13.1417
angles (deg): 128.96 128.96 33.91
Sites, in units of the cell vectors:
Sr 0.0000 0.0000 0.0000
Sr 0.3028 0.3028 0.2610
Sr 0.6972 0.6972 0.7390
Ca 0.0000 0.0000 0.5000
Ca 0.1722 0.1722 0.3954
Ca 0.3229 0.3229 0.9872
Ca 0.4628 0.4628 0.6676
Ca 0.5372 0.5372 0.3324
Ca 0.6771 0.6771 0.0128
Ca 0.8278 0.8278 0.6046
In 0.0874 0.0874 0.8178
In 0.3101 0.3101 0.7260
In 0.6899 0.6899 0.2740
In 0.9126 0.9126 0.1822

Computed properties:
Energy of formation from the pure elements: -0.279 eV/atom
Space-group type: C2/m



Entry from Alexandria: a relaxed PrSm2MgTl4 crystal (PBE).

a b c (Å): 9.6819 9.6819 9.6819
angles (deg): 32.02 32.02 32.02
Sites, in units of the cell vectors:
Pr 0.0000 0.0000 0.0000
Sm 0.2418 0.2418 0.2418
Sm 0.7582 0.7582 0.7582
Mg 0.5000 0.5000 0.5000
Tl 0.1244 0.1244 0.1244
Tl 0.3769 0.3769 0.3769
Tl 0.6231 0.6231 0.6231
Tl 0.8756 0.8756 0.8756

Computed properties:
Energy of formation from the pure elements: -0.317 eV/atom
Space-group type: R-3m



Entry from Alexandria: a relaxed LaPaRe crystal (PBE).

a b c (Å): 6.2414 6.2414 6.2414
angles (deg): 147.28 147.28 46.95
Sites, in units of the cell vectors:
La 0.0000 0.0000 0.0000
Pa 0.6899 0.6899 0.0000
Re 0.3111 0.3111 0.0000

Computed properties:
Energy of formation from the pure elements: 0.073 eV/atom
Space-group type: I4mm
Relative energy among the computed polymorphs: 0 meV per atom